Below is a geometry-optimized Dy3Er3Tm structure, with properties calculated at the PBE level.

Cell and atoms, written as extended XYZ:
```
14
Lattice="-4.856 -1.175 -3.511 -4.643 -3.292 2.213 -9.298 10.226 4.130" Properties=species:S:1:pos:R:3 pbc="T T T"
Er -12.874 6.034 1.631
Dy -8.400 4.484 3.050
Dy -10.111 4.788 -0.030
Dy -7.221 2.776 0.196
Dy -8.685 0.972 2.862
Tm -15.630 7.247 3.264
Tm -3.167 -1.488 -0.432
Er -9.086 -1.765 0.774
Er -5.922 -0.275 1.201
Dy -11.575 2.983 2.636
Er -9.710 7.524 2.058
Er -7.616 0.036 -1.872
Er -11.181 5.724 4.705
Dy -10.396 1.276 -0.218
```

Properties
E_form (eV/atom): 0.15
Crystal system: trigonal